Entry from Alexandria via LeMat-Bulk: a geometry-optimized Sm2DyBi structure (PBE-GGA).

Summary:
space group	R3m, No. 160
excess energy over the best structure of this formula in the dataset	224	meV/atom
total magnetic moment	0.81	μB per formula unit

Structure (POSCAR):
```
Sm2DyBi
1.0
4.1059 0.0000 0.0000
-2.0529 3.5558 0.0000
0.0000 0.0000 28.8631
Sm Dy Bi
6 3 3
Direct
0.0000 0.0000 0.0000
0.0000 0.0000 0.1915
0.3333 0.6667 0.6667
0.3333 0.6667 0.8581
0.6667 0.3333 0.3333
0.6667 0.3333 0.5248
0.0000 0.0000 0.4291
0.3333 0.6667 0.0958
0.6667 0.3333 0.7624
0.0000 0.0000 0.5955
0.3333 0.6667 0.2622
0.6667 0.3333 0.9288
```